VASP calculation (GGA-PBE) on LiZnFe4 after structural relaxation. Values from VASP.

Values from the calculation:
ΔH_f (0 K) = 0.196 eV per atom
Total energy = -35.9 eV per formula unit

Cell and atoms, written as Quantum ESPRESSO input:
```
&SYSTEM
  ibrav = 0, nat = 6, ntyp = 3
/
ATOMIC_SPECIES
Li 6.94 Li.upf
Zn 65.41 Zn.upf
Fe 55.84 Fe.upf
ATOMIC_POSITIONS angstrom
Li 0.0000 0.0000 0.0000
Zn 5.0187 5.0187 5.0187
Fe 2.5084 2.5084 2.5084
Fe 4.1832 4.1832 2.5084
Fe 4.1832 2.5084 4.1832
Fe 2.5084 4.1832 4.1832
CELL_PARAMETERS angstrom
0.0000 3.3458 3.3458
3.3458 0.0000 3.3458
3.3458 3.3458 0.0000
```


VASP calculation (GGA-PBE) on Pm6Cd5Pt after structural relaxation. Values from VASP.

Values from the calculation:
ΔH_f (0 K) = -0.453 eV per atom
Total energy = -44.6 eV per formula unit

Cell and atoms, written as Quantum ESPRESSO input:
```
&SYSTEM
  ibrav = 0, nat = 12, ntyp = 3
/
ATOMIC_SPECIES
Pm 145.00 Pm.upf
Cd 112.41 Cd.upf
Pt 195.08 Pt.upf
ATOMIC_POSITIONS angstrom
Pm 5.1930 2.0354 1.7319
Pm 8.4002 2.0904 0.0000
Pm 9.9359 2.0354 3.3096
Pm 5.1930 -2.0354 1.7319
Pm 8.4002 -2.0904 0.0000
Pm 9.9359 -2.0354 3.3096
Cd 2.8162 0.0000 0.9371
Cd 4.1943 0.0000 4.1995
Cd 7.5644 0.0000 2.5207
Cd 10.9345 0.0000 0.8420
Cd 12.3126 0.0000 4.1044
Pt -0.8358 0.0000 2.5207
CELL_PARAMETERS angstrom
8.4002 -3.8335 0.0000
8.4002 3.8335 0.0000
-1.6716 0.0000 5.0414
```


VASP calculation (GGA-PBE) on TeMo2Ru after structural relaxation. Values from VASP.

Values from the calculation:
Total energy = -32.4 eV per formula unit
Uncorrected formation energy = 410 meV per atom

Cell and atoms, written as Quantum ESPRESSO input:
```
&SYSTEM
  ibrav = 0, nat = 4, ntyp = 3
/
ATOMIC_SPECIES
Te 127.60 Te.upf
Mo 95.94 Mo.upf
Ru 101.07 Ru.upf
ATOMIC_POSITIONS angstrom
Te 0.0000 0.0000 0.0000
Mo 1.9946 0.0000 2.0658
Mo 0.0000 0.0000 4.1316
Ru 0.0000 1.9946 2.0658
CELL_PARAMETERS angstrom
-1.9946 1.9946 4.1316
1.9946 -1.9946 4.1316
1.9946 1.9946 -4.1316
```


VASP calculation (GGA-PBE) on Hf5Al3C after structural relaxation. Values from VASP.

Values from the calculation:
ΔH_f (0 K) = -0.470 eV per atom
Total energy = -74.4 eV per formula unit

Cell and atoms, written as Quantum ESPRESSO input:
```
&SYSTEM
  ibrav = 0, nat = 18, ntyp = 3
/
ATOMIC_SPECIES
Hf 178.49 Hf.upf
Al 26.98 Al.upf
C 12.01 C.upf
ATOMIC_POSITIONS angstrom
Hf -0.9131 1.5816 1.4208
Hf -3.1681 5.4873 4.2623
Hf 1.8263 0.0000 1.4208
Hf 0.9131 1.5816 4.2623
Hf 0.0000 4.7126 0.0000
Hf 0.0000 4.7126 2.8415
Hf 4.0812 2.3563 0.0000
Hf 4.0812 2.3563 2.8415
Hf 6.3361 0.0000 4.2623
Hf 3.1681 5.4873 1.4208
Al -1.6434 2.8465 4.2623
Al -2.4378 4.2224 1.4208
Al 3.2868 0.0000 4.2623
Al 1.6434 2.8465 1.4208
Al 4.8756 0.0000 1.4208
Al 2.4378 4.2224 4.2623
C 0.0000 0.0000 0.0000
C 0.0000 0.0000 2.8415
CELL_PARAMETERS angstrom
8.1624 0.0000 0.0000
-4.0812 7.0689 0.0000
0.0000 0.0000 5.6830
```